No. 1
Compound: Nd8Tm3Th2
Source: Alexandria via LeMat-Bulk
Functional: PBE-GGA
Structure: optimized geometry

abc: 6.297 9.569 15.732
angles: 97.37 97.60 109.05
Space group P-1 (No. 2)
Unique sites:
Nd: 0.076 0.081 0.118 [2 per cell]
Nd: 0.147 0.152 0.729 [2 per cell]
Nd: 0.191 0.692 0.540 [2 per cell]
Nd: 0.265 0.760 0.150 [2 per cell]
Nd: 0.313 0.316 0.965 [2 per cell]
Nd: 0.345 0.842 0.769 [2 per cell]
Nd: 0.390 0.387 0.577 [2 per cell]
Nd: 0.419 0.926 0.383 [2 per cell]
Tm: 0.000 0.000 0.500 [1 per cell]
Tm: 0.038 0.531 0.304 [2 per cell]
Tm: 0.459 0.458 0.194 [2 per cell]
Tm: 0.500 0.000 0.000 [1 per cell]
Th: 0.111 0.615 0.923 [2 per cell]
Th: 0.228 0.231 0.347 [2 per cell]

* DOS at the Fermi energy: 37.2 states/eV/cell
* raw total energy: -5.069 eV per atom
* DFT formation energy: 0.039 eV/atom
* total magnetic moment: 0.000 μB per atom

***

No. 2
Compound: Hf2NbInH
Source: Alexandria via LeMat-Bulk
Functional: PBE-GGA
Structure: optimized geometry

abc: 4.585 4.585 3.994
angles: 90.00 90.00 90.00
Space group P4/mmm (No. 123)
Unique sites:
Hf: 0.000 0.500 0.000 [2 per cell]
Nb: 0.000 0.000 0.500 [1 per cell]
In: 0.500 0.500 0.500 [1 per cell]
H: 0.000 0.000 0.000 [1 per cell]

* DOS at the Fermi energy: 4.6 states/eV/cell
* raw total energy: -7.426 eV per atom
* total magnetic moment: 0.000 μB per atom

***

No. 3
Compound: ScIn2OsW
Source: Alexandria via LeMat-Bulk
Functional: PBE-GGA
Structure: optimized geometry

abc: 5.144 5.144 4.454
angles: 90.00 90.00 90.00
Space group P4/mmm (No. 123)
Unique sites:
Sc: 0.000 0.000 0.000 [1 per cell]
In: 0.000 0.500 0.000 [2 per cell]
Os: 0.000 0.000 0.500 [1 per cell]
W: 0.500 0.500 0.500 [1 per cell]

* DOS at the Fermi energy: 7.6 states/eV/cell
* raw total energy: -5.137 eV per atom
* DFT formation energy: 2.061 eV/atom
* total magnetic moment: 0.000 μB per atom

***

No. 4
Compound: Ho3NiGe3
Source: Alexandria via LeMat-Bulk
Functional: PBE-GGA
Structure: optimized geometry

abc: 10.502 4.217 13.794
angles: 90.00 110.11 90.00
Space group C2/m (No. 12)
Unique sites:
Ho: 0.031 0.000 0.382 [4 per cell]
Ho: 0.098 0.000 0.921 [4 per cell]
Ho: 0.246 0.000 0.229 [4 per cell]
Ni: 0.245 0.500 0.398 [4 per cell]
Ge: 0.040 0.500 0.238 [4 per cell]
Ge: 0.126 0.500 0.076 [4 per cell]
Ge: 0.142 0.500 0.544 [4 per cell]

* DOS at the Fermi energy: 16.5 states/eV/cell
* raw total energy: -5.607 eV per atom
* DFT formation energy: -0.840 eV/atom
* total magnetic moment: 0.000 μB per atom

***

No. 5
Compound: Tb2PmZn2
Source: Alexandria via LeMat-Bulk
Functional: PBE-GGA
Structure: optimized geometry

abc: 5.293 15.398 6.254
angles: 90.00 90.00 90.00
Space group Cmc2_1 (No. 36)
Unique sites:
Tb: 0.000 0.042 0.000 [4 per cell]
Tb: 0.000 0.202 0.609 [4 per cell]
Pm: 0.000 0.416 0.851 [4 per cell]
Zn: 0.000 0.221 0.118 [4 per cell]
Zn: 0.000 0.375 0.343 [4 per cell]

* DOS at the Fermi energy: 19.3 states/eV/cell
* raw total energy: -3.506 eV per atom
* DFT formation energy: -0.195 eV/atom
* distance to the lowest polymorph of the same formula: 62 meV/atom
* total magnetic moment: 0.000 μB per atom

***

No. 6
Compound: Na2Cd2In7
Source: Alexandria via LeMat-Bulk
Functional: PBE-GGA
Structure: optimized geometry

abc: 5.183 6.606 9.187
angles: 77.93 75.77 89.26
Space group P-1 (No. 2)
Unique sites:
Na: 0.097 0.108 0.292 [2 per cell]
Cd: 0.317 0.055 0.890 [2 per cell]
In: 0.000 0.500 0.500 [1 per cell]
In: 0.161 0.674 0.143 [2 per cell]
In: 0.359 0.577 0.809 [2 per cell]
In: 0.477 0.218 0.544 [2 per cell]

* DOS at the Fermi energy: 3.7 states/eV/cell
* raw total energy: -2.188 eV per atom
* DFT formation energy: -0.039 eV/atom
* total magnetic moment: 0.000 μB per atom

***

No. 7
Compound: YHoSn
Source: Alexandria via LeMat-Bulk
Functional: PBE-GGA
Structure: optimized geometry

abc: 3.473 16.428 6.396
angles: 90.00 90.00 90.00
Space group Cmcm (No. 63)
Unique sites:
Y: 0.000 0.129 0.250 [4 per cell]
Ho: 0.000 0.333 0.250 [4 per cell]
Sn: 0.000 0.500 0.000 [4 per cell]

* DOS at the Fermi energy: 10.5 states/eV/cell
* raw total energy: -5.195 eV per atom
* DFT formation energy: -0.180 eV/atom
* distance to the lowest polymorph of the same formula: 426 meV/atom
* total magnetic moment: 0.001 μB per atom

***

No. 8
Compound: VFeRu
Source: Alexandria via LeMat-Bulk
Functional: PBE-GGA
Structure: optimized geometry

abc: 4.0834 4.0834 2.6072
angles: 90.00 90.00 120.00
Space group P-6m2 (No. 187)
Unique sites:
V: 0.0000 0.0000 0.0000 [1 per cell]
Fe: 0.6667 0.3333 0.0000 [1 per cell]
Ru: 0.3333 0.6667 0.5000 [1 per cell]

* DOS at the Fermi energy: 4.0 states/eV/cell
* raw total energy: -8.963 eV per atom
* DFT formation energy: -0.010 eV/atom
* distance to the lowest polymorph of the same formula: 136 meV/atom
* total magnetic moment: 0.002 μB per atom

***

> Among the records above, which one has the highest DOS at the Fermi energy?

Nd8Tm3Th2

***

> Which of these has the highest DOS at the Fermi energy?

Nd8Tm3Th2

***

> raw total energy of number 7 (YHoSn)?

-5.195 eV per atom